CdS2I: relaxed, PBE.

For the formation energy (no corrections), the calculation gives 100.7 kJ/mol of formula units. The calculation puts the calculated density at 4505 kg/m3. The crystal system is tetragonal. The value obtained for the density of states at the Fermi level is 17.35 states/eV per cell. As for the energy: -9.68 eV/f.u. The energy above the most stable polymorph in this dataset comes out at 31.7 kJ/mol of atoms.

It has space group I-42d (No. 122), with a = 7.081 Å, b = 7.081 Å, c = 8.924 Å, α = 90.00°, β = 90.00° and γ = 90.00°. The asymmetric unit holds Cd at (0.000, 0.000, 0.000), S at (0.214, 0.750, 0.125) and I at (0.000, 0.000, 0.500).

PmPu2OsC4: relaxed, PBE.

The formation energy is 90.4 meV/atom. The calculation puts the calculated density at 11491 kg/m3. The crystal system is orthorhombic. The value obtained for the density of states at the Fermi level is 57.68 states/eV per cell. As for the energy: -80.82 eV/f.u.

It has space group Cmcm (No. 63), with a = 3.533 Å, b = 11.726 Å, c = 12.155 Å, α = 90.00°, β = 90.00° and γ = 90.00°. The asymmetric unit holds Pm at (0.000, 0.100, 0.250), Pu at (0.000, 0.370, 0.041), Os at (0.000, 0.161, 0.750), C at (0.000, 0.000, 0.000), C at (0.000, 0.259, 0.623) and C at (0.000, 0.426, 0.250).

HgAuBr2: relaxed, PBE.

For the formation energy (no corrections), the calculation gives 22.6 kJ/mol of formula units. The calculation puts the calculated density at 7969 kg/m3. The crystal system is orthorhombic. The value obtained for the density of states at the Fermi level is 3.29 states/eV per cell. As for the energy: -6.69 eV/f.u. The energy above the most stable polymorph in this dataset comes out at 17.3 kJ/mol of atoms.

It has space group Imm2 (No. 44), with a = 3.905 Å, b = 4.091 Å, c = 14.538 Å, α = 90.00°, β = 90.00° and γ = 90.00°. The asymmetric unit holds Hg at (0.000, 0.000, 0.000), Au at (0.000, 0.500, 0.678), Br at (0.000, 0.000, 0.447) and Br at (0.000, 0.500, 0.191).

Rb2MgF2: relaxed, PBE.

For the formation energy (no corrections), the calculation gives -787.5 kJ/mol of formula units. The calculation puts the calculated density at 2954 kg/m3. The crystal system is tetragonal. The value obtained for the density of states at the Fermi level is 0.00 states/eV per cell. As for the energy: -15.43 eV/f.u. The energy above the most stable polymorph in this dataset comes out at 10.9 kJ/mol of atoms.

It has space group P4/mbm (No. 127), with a = 8.731 Å, b = 8.731 Å, c = 3.439 Å, α = 90.00°, β = 90.00° and γ = 90.00°. The asymmetric unit holds Rb at (0.134, 0.366, 0.000), Mg at (0.000, 0.000, 0.000) and F at (0.133, 0.633, 0.500).

Q: What is the energy in the first record?
A: -9.68 eV/f.u.

Q: Look up the energy of the first one.
A: -9.68 eV/f.u.

Q: Which of these has the highest calculated density?
A: PmPu2OsC4